# PrPaSe2

A geometry-optimized PrPaSe2 structure (GGA-PBE, Alexandria via LeMat-Bulk).

Output
- Offset from the most stable computed form: 0.073 eV/atom
- Formation energy without anion corrections: -136.8 kJ/mol of atoms

abc: 3.9667 3.9667 7.9761
angles: 75.60 75.60 60.00
Last column: nearest neighbours and their distance in Å.
Atoms (fractional coordinates):
Se 0.2532 0.2532 0.2404  3 Pa 2.98, 3 Pr 3.08
Pr 0.4967 0.4967 0.5098  6 Se 2.97-3.08
Se 0.0806 0.0806 0.7583  3 Pa 2.90, 3 Pr 2.97
Pa 0.6695 0.6695 0.9914  6 Se 2.90-2.98

***

# PrPa6Se12

A geometry-optimized PrPa6Se12 structure (GGA-PBE, Alexandria via LeMat-Bulk).

Output
- Formation energy without anion corrections: -125.8 kJ/mol of atoms

abc: 8.3724 8.3724 8.3724
angles: 100.59 100.59 100.59
Last column: nearest neighbours and their distance in Å.
Atoms (fractional coordinates):
Pa 0.3136 0.1374 0.6277  6 Se 2.83-3.00
Pa 0.1374 0.6277 0.3136  6 Se 2.83-3.00
Se 0.5796 0.4357 0.8242  4 Pa 2.91-3.00
Se 0.5643 0.1758 0.4204  4 Pa 2.91-3.00
Pa 0.8626 0.3723 0.6864  6 Se 2.83-3.00
Se 0.8242 0.5796 0.4357  4 Pa 2.91-3.00
Pa 0.6277 0.3136 0.1374  6 Se 2.83-3.00
Pa 0.3723 0.6864 0.8626  6 Se 2.83-3.00
Se 0.9476 0.3347 0.0668  2 Pa 2.83-2.88, 1 Pr 2.89
Se 0.6653 0.9332 0.0524  2 Pa 2.83-2.88, 1 Pr 2.89
Se 0.3347 0.0668 0.9476  2 Pa 2.83-2.88, 1 Pr 2.89
Se 0.1758 0.4204 0.5643  4 Pa 2.91-3.00
Pa 0.6864 0.8626 0.3723  6 Se 2.83-3.00
Pr 0.0000 0.0000 0.0000  6 Se 2.89
Se 0.4357 0.8242 0.5796  4 Pa 2.91-3.00
Se 0.0668 0.9476 0.3347  2 Pa 2.83-2.88, 1 Pr 2.89
Se 0.0524 0.6653 0.9332  2 Pa 2.83-2.88, 1 Pr 2.89
Se 0.4204 0.5643 0.1758  4 Pa 2.91-3.00
Se 0.9332 0.0524 0.6653  2 Pa 2.83-2.88, 1 Pr 2.89

***

# Pr3PaSe6

A geometry-optimized Pr3PaSe6 structure (GGA-PBE, Alexandria via LeMat-Bulk).

Output
- Offset from the most stable computed form: 0.000 eV/atom
- Formation energy without anion corrections: -164.1 kJ/mol of atoms

abc: 4.1858 12.1734 11.8556
angles: 107.56 90.00 90.00
Last column: nearest neighbours and their distance in Å.
Atoms (fractional coordinates):
Pr 0.7500 0.0748 0.1600  6 Se 2.90-3.01
Pr 0.2500 0.1664 0.5851  6 Se 2.94-3.01
Se 0.2500 0.9254 0.5953  4 Pr 2.90-2.97
Pr 0.7500 0.8336 0.4149  6 Se 2.94-3.01
Se 0.2500 0.3805 0.5186  4 Pr 2.93-3.08
Pr 0.7500 0.5050 0.6799  7 Se 2.93-3.22
Se 0.2500 0.7134 0.2382  3 Pr 3.01-3.09, 2 Pa 3.07, 1 Se 3.25
Pa 0.2500 0.3074 0.9571  8 Se 2.97-3.13
Se 0.7500 0.2866 0.7618  3 Pr 3.01-3.09, 2 Pa 3.07, 1 Se 3.25
Se 0.7500 0.0746 0.4047  4 Pr 2.90-2.97
Se 0.7500 0.1089 0.9185  3 Pr 3.00-3.01, 2 Pa 3.12, 1 Se 3.25
Se 0.7500 0.6195 0.4814  4 Pr 2.93-3.08
Pa 0.7500 0.6926 0.0429  8 Se 2.97-3.13
Pr 0.2500 0.4950 0.3201  7 Se 2.93-3.22
Se 0.7500 0.7500 0.8164  3 Pr 2.93-2.94, 1 Pa 2.97
Se 0.2500 0.5390 0.8939  3 Pa 3.00-3.13, 2 Pr 3.22
Pr 0.2500 0.9252 0.8400  6 Se 2.90-3.01
Se 0.2500 0.2500 0.1836  3 Pr 2.93-2.94, 1 Pa 2.97
Se 0.2500 0.8911 0.0815  3 Pr 3.00-3.01, 2 Pa 3.12, 1 Se 3.25
Se 0.7500 0.4610 0.1061  3 Pa 3.00-3.13, 2 Pr 3.22

***

# PrPaSe

A geometry-optimized PrPaSe structure (GGA-PBE, Alexandria via LeMat-Bulk).

Output
- Formation energy without anion corrections: -51.0 kJ/mol of atoms

abc: 5.5087 5.5087 6.9558
angles: 113.43 113.43 60.00
Last column: nearest neighbours and their distance in Å.
Atoms (fractional coordinates):
Se 0.2757 0.2757 0.3271  1 Pr 2.86, 1 Pa 2.88
Pr 0.1213 0.1213 0.8648  1 Se 2.86
Se 0.7243 0.7243 0.6729  1 Pr 2.86, 1 Pa 2.88
Pr 0.8787 0.8787 0.1352  1 Se 2.86
Pa 0.5690 0.5690 0.2061  1 Pa 2.55
Pa 0.4310 0.4310 0.7939  1 Pa 2.55

***

# Pr2PaSe6

A geometry-optimized Pr2PaSe6 structure (GGA-PBE, Alexandria via LeMat-Bulk).

Output
- Formation energy without anion corrections: -148.7 kJ/mol of atoms

abc: 4.1895 7.8845 7.8845
angles: 120.00 90.00 90.00
Last column: nearest neighbours and their distance in Å.
Atoms (fractional coordinates):
Se 0.0000 0.2488 0.2488  2 Pa 2.87, 2 Pr 3.02
Se 0.5000 0.0000 0.3988  1 Pa 3.14, 4 Pr 3.19, 6 Se 3.46-3.48
Pr 0.0000 0.6667 0.3333  9 Se 3.02-3.19
Pr 0.0000 0.3333 0.6667  9 Se 3.02-3.19
Se 0.5000 0.6012 0.6012  1 Pa 3.14, 4 Pr 3.19, 6 Se 3.46-3.48
Se 0.0000 0.0000 0.7512  2 Pa 2.87, 2 Pr 3.02
Se 0.5000 0.3988 0.0000  1 Pa 3.14, 4 Pr 3.19, 6 Se 3.46-3.48
Pa 0.5000 0.0000 0.0000  9 Se 2.87-3.14
Se 0.0000 0.7512 0.0000  2 Pa 2.87, 2 Pr 3.02

***

# PrPa5Se6

A geometry-optimized PrPa5Se6 structure (GGA-PBE, Alexandria via LeMat-Bulk).

Output
- Formation energy without anion corrections: -124.5 kJ/mol of atoms

abc: 7.3189 6.9177 7.0109
angles: 60.44 80.74 70.97
Last column: nearest neighbours and their distance in Å.
Atoms (fractional coordinates):
Pa 0.5000 0.5000 0.0000  6 Se 2.87-2.90
Se 0.2548 0.5747 0.3394  5 Pa 2.89-2.90, 1 Pr 2.96
Pa 0.0000 0.6684 0.6632  6 Se 2.88-2.90
Se 0.2548 0.9141 0.6606  5 Pa 2.89-2.90, 1 Pr 2.96
Pa 0.0000 0.3316 0.3368  6 Se 2.88-2.90
Se 0.7452 0.4253 0.6606  5 Pa 2.89-2.90, 1 Pr 2.96
Se 0.2471 0.2588 0.0000  5 Pa 2.87-2.88, 1 Pr 2.93
Se 0.7529 0.7412 0.0000  5 Pa 2.87-2.88, 1 Pr 2.93
Pa 0.5000 0.1606 0.6788  6 Se 2.88-2.90
Pa 0.5000 0.8394 0.3212  6 Se 2.88-2.90
Pr 0.0000 0.0000 0.0000  6 Se 2.93-2.96
Se 0.7452 0.0859 0.3394  5 Pa 2.89-2.90, 1 Pr 2.96

***

# Pr3PaSe6

A geometry-optimized Pr3PaSe6 structure (GGA-PBE, Alexandria via LeMat-Bulk).

Output
- Offset from the most stable computed form: 0.072 eV/atom
- Formation energy without anion corrections: -157.2 kJ/mol of atoms

abc: 7.2738 9.1890 9.1890
angles: 101.37 90.00 90.00
Last column: nearest neighbours and their distance in Å.
Atoms (fractional coordinates):
Pr 0.9886 0.0873 0.2893  6 Se 2.94-3.14
Pr 0.8785 0.5965 0.4035  7 Se 3.01-3.10
Pr 0.9886 0.7107 0.9127  6 Se 2.94-3.14
Se 0.6355 0.2310 0.7690  1 Pa 2.79, 3 Pr 3.06-3.08
Pr 0.4886 0.2893 0.0873  6 Se 2.94-3.14
Se 0.1812 0.3717 0.3045  4 Pr 2.94-3.03
Se 0.1930 0.4249 0.9031  1 Pa 2.79, 2 Pr 3.00-3.10
Se 0.1930 0.0969 0.5751  1 Pa 2.79, 2 Pr 3.00-3.10
Se 0.6812 0.3045 0.3717  4 Pr 2.94-3.03
Se 0.7525 0.9922 0.0078  2 Pa 2.88-2.97, 2 Pr 3.08
Pa 0.4932 0.8394 0.1606  5 Se 2.79-2.97
Se 0.1812 0.6955 0.6283  4 Pr 2.94-3.03
Pr 0.3785 0.4035 0.5965  7 Se 3.01-3.10
Pr 0.4886 0.9127 0.7107  6 Se 2.94-3.14
Se 0.6930 0.9031 0.4249  1 Pa 2.79, 2 Pr 3.00-3.10
Se 0.1355 0.7690 0.2310  1 Pa 2.79, 3 Pr 3.06-3.08
Se 0.2525 0.0078 0.9922  2 Pa 2.88-2.97, 2 Pr 3.08
Pa 0.9932 0.1606 0.8394  5 Se 2.79-2.97
Se 0.6812 0.6283 0.6955  4 Pr 2.94-3.03
Se 0.6930 0.5751 0.0969  1 Pa 2.79, 2 Pr 3.00-3.10

***

# Pr3PaSe4

A geometry-optimized Pr3PaSe4 structure (GGA-PBE, Alexandria via LeMat-Bulk).

Output
- Formation energy without anion corrections: -160.2 kJ/mol of atoms

abc: 4.1827 7.3189 7.3189
angles: 109.01 90.00 90.00
Last column: nearest neighbours and their distance in Å.
Atoms (fractional coordinates):
Se 0.0000 0.2410 0.2410  2 Pa 2.93, 4 Pr 2.98-3.04
Se 0.5000 0.2447 0.7553  1 Pa 2.92, 5 Pr 2.98-3.04
Se 0.5000 0.7553 0.2447  1 Pa 2.92, 5 Pr 2.98-3.04
Pr 0.5000 0.5000 0.5000  6 Se 3.04
Pr 0.0000 0.5000 0.0000  6 Se 2.98
Se 0.0000 0.7590 0.7590  2 Pa 2.93, 4 Pr 2.98-3.04
Pa 0.5000 0.0000 0.0000  6 Se 2.92-2.93
Pr 0.0000 0.0000 0.5000  6 Se 2.98